Entry from Alexandria via LeMat-Bulk: a relaxed CeHo2Ir crystal (PBE-GGA).

a b c (Å): 3.9204 3.9204 9.3627
angles (deg): 77.92 77.92 60.00
Fractional coordinates of all 4 atoms:
Ir  0.6661  0.6661  0.0017
Ho  0.2767  0.2767  0.1700
Ce  0.5015  0.5015  0.4955
Ho  0.0557  0.0557  0.8328

Properties
ΔH_f (0 K), eV/atom: -0.27
Symmetry: R3m
Total moment, Bohr magnetons per cell: 1.75
N(E_F), states/eV per atom: 2.123